Here is PmHoAs2O8 after structural relaxation from Alexandria. Energies are from PBE-GGA.

The space group is I-4 (No. 82) and the conventional cell measures 5.088, 5.088 and 11.472 Å, with angles of 90.00, 90.00 and 90.00 degrees. The distinct sites, in fractional coordinates, are Pm at (0.000, 0.000, 0.000), Ho at (0.000, 0.500, 0.750), As at (0.000, 0.000, 0.500), As at (0.000, 0.500, 0.250), O at (0.141, 0.251, 0.580) and O at (0.151, 0.751, 0.173).

The value obtained for the formation energy from raw total energies is -2.341 eV/atom. The calculation puts the calculated total energy at -7.198 eV/atom.



Here is PrHoAs2O8 after structural relaxation from Alexandria. Energies are from PBE-GGA.

The space group is I-4 (No. 82) and the conventional cell measures 5.116, 5.116 and 11.570 Å, with angles of 90.00, 90.00 and 90.00 degrees. The distinct sites, in fractional coordinates, are Pr at (0.000, 0.000, 0.000), Ho at (0.000, 0.500, 0.750), As at (0.000, 0.000, 0.500), As at (0.000, 0.500, 0.250), O at (0.136, 0.251, 0.581) and O at (0.151, 0.750, 0.174).

The value obtained for the formation energy from raw total energies is -2.324 eV/atom. The calculation puts the calculated total energy at -7.184 eV/atom.



Here is HoPuAsO2 after structural relaxation from Alexandria. Energies are from PBE-GGA.

The space group is I4mm (No. 107) and the conventional cell measures 3.789, 3.789 and 12.353 Å, with angles of 90.00, 90.00 and 90.00 degrees. The distinct sites, in fractional coordinates, are Ho at (0.000, 0.000, 0.000), Pu at (0.000, 0.000, 0.697), As at (0.000, 0.000, 0.344) and O at (0.000, 0.500, 0.095).

The value obtained for the formation energy from raw total energies is -2.496 eV/atom. The calculation puts the calculated total energy at -9.191 eV/atom.



Here is RbHoAs2O6 after structural relaxation from Alexandria. Energies are from PBE-GGA.

The space group is R-3 (No. 148, hexagonal axes) and the conventional cell measures 5.8499, 5.8499 and 18.5090 Å, with angles of 90.00, 90.00 and 120.00 degrees. The distinct sites, in fractional coordinates, are Rb at (0.0000, 0.0000, 0.0000), Ho at (0.0000, 0.0000, 0.5000), As at (0.0000, 0.0000, 0.2631) and O at (0.0221, 0.4253, 0.9020).

The value obtained for the formation energy from raw total energies is -1.784 eV/atom. The calculation puts the calculated total energy at -6.244 eV/atom.